# 1
Computed, not measured: a geometry-optimized Zr4ZnTc structure at the PBE level of DFT.

Values from the calculation:
E above lowest polymorph   0 meV/atom

Geometry as POSCAR:
```
Zr4ZnTc
1.0
3.311 -0.001 0.000
0.001 3.311 0.000
0.000 0.000 10.963
Zr Zn Tc
4 1 1
Direct
0.500 0.500 0.853 Zr
0.500 0.500 0.147 Zr
0.000 0.000 0.662 Zr
0.000 0.000 0.338 Zr
0.500 0.500 0.500 Zn
0.000 0.000 0.000 Tc
```


# 2
Computed, not measured: a geometry-optimized Tb8CeEr2 structure at the PBE level of DFT.

Values from the calculation:
E above lowest polymorph   137 meV/atom

Geometry as POSCAR:
```
Tb8CeEr2
1.0
5.494 -0.678 -0.473
0.931 9.776 2.617
0.931 5.821 8.278
Tb Ce Er
8 1 2
Direct
0.267 0.133 0.601 Tb
0.267 0.601 0.133 Tb
0.733 0.867 0.399 Tb
0.238 0.546 0.546 Tb
0.733 0.399 0.867 Tb
0.233 0.188 0.188 Tb
0.767 0.812 0.812 Tb
0.762 0.454 0.454 Tb
0.000 0.000 0.000 Ce
0.749 0.284 0.284 Er
0.251 0.716 0.716 Er
```


# 3
Computed, not measured: a geometry-optimized Er5Tl2Pt2 structure at the PBE level of DFT.

Values from the calculation:
Final energy   -5.15 eV per atom

Geometry as POSCAR:
```
Er5Tl2Pt2
1.0
-4.300 -0.127 5.914
-1.534 -7.938 -1.286
6.941 2.055 5.091
Er Tl Pt
10 4 4
Direct
0.000 0.000 0.000 Er
0.500 0.500 0.000 Er
0.840 0.795 0.237 Er
0.160 0.442 0.237 Er
0.340 0.942 0.237 Er
0.660 0.295 0.237 Er
0.160 0.205 0.763 Er
0.840 0.558 0.763 Er
0.660 0.058 0.763 Er
0.340 0.705 0.763 Er
0.000 0.216 0.432 Tl
0.500 0.716 0.432 Tl
0.000 0.784 0.568 Tl
0.500 0.284 0.568 Tl
0.636 0.870 0.000 Pt
0.364 0.130 0.000 Pt
0.136 0.630 0.000 Pt
0.864 0.370 0.000 Pt
```


# 4
Computed, not measured: a geometry-optimized Rb12O3F5 structure at the PBE level of DFT.

Values from the calculation:
ΔE_f (raw)   -1.6325 eV per atom

Geometry as POSCAR:
```
Rb12O3F5
1.0
-11.283 8.673 3.425
5.181 -6.296 12.157
10.565 7.976 -6.247
O F Rb
12 20 48
Direct
0.750 0.375 0.125 O
0.875 0.750 0.125 O
0.375 0.750 0.625 O
0.250 0.125 0.375 O
0.875 0.125 0.250 O
0.375 0.625 0.250 O
0.625 0.375 0.750 O
0.125 0.875 0.750 O
0.750 0.875 0.625 O
0.625 0.250 0.375 O
0.125 0.250 0.875 O
0.250 0.625 0.875 O
0.125 0.375 0.250 F
0.000 0.500 0.000 F
0.000 0.000 0.000 F
0.375 0.250 0.125 F
0.500 0.000 0.500 F
0.500 0.500 0.000 F
0.125 0.750 0.375 F
0.750 0.125 0.875 F
0.750 0.625 0.375 F
0.375 0.125 0.750 F
0.625 0.875 0.250 F
0.500 0.500 0.500 F
0.500 0.000 0.000 F
0.000 0.000 0.500 F
0.250 0.375 0.625 F
0.250 0.875 0.125 F
0.000 0.500 0.500 F
0.875 0.250 0.625 F
0.625 0.750 0.875 F
0.875 0.625 0.750 F
0.718 0.140 0.045 Rb
0.326 0.545 0.405 Rb
0.955 0.360 0.282 Rb
0.545 0.218 0.140 Rb
0.578 0.718 0.674 Rb
0.955 0.595 0.174 Rb
0.326 0.782 0.422 Rb
0.095 0.922 0.140 Rb
0.595 0.955 0.674 Rb
0.718 0.578 0.174 Rb
0.782 0.455 0.360 Rb
0.826 0.905 0.045 Rb
0.140 0.718 0.545 Rb
0.360 0.405 0.078 Rb
0.078 0.905 0.360 Rb
0.422 0.140 0.595 Rb
0.078 0.174 0.218 Rb
0.455 0.674 0.095 Rb
0.826 0.922 0.282 Rb
0.140 0.422 0.095 Rb
0.360 0.955 0.782 Rb
0.595 0.640 0.422 Rb
0.905 0.826 0.545 Rb
0.782 0.326 0.922 Rb
0.405 0.360 0.578 Rb
0.095 0.174 0.455 Rb
0.218 0.674 0.078 Rb
0.174 0.078 0.718 Rb
0.640 0.045 0.218 Rb
0.860 0.578 0.905 Rb
0.545 0.326 0.905 Rb
0.578 0.860 0.405 Rb
0.922 0.826 0.782 Rb
0.922 0.095 0.640 Rb
0.860 0.282 0.455 Rb
0.174 0.095 0.955 Rb
0.640 0.595 0.922 Rb
0.405 0.045 0.326 Rb
0.282 0.422 0.826 Rb
0.218 0.545 0.640 Rb
0.905 0.078 0.860 Rb
0.674 0.218 0.578 Rb
0.455 0.782 0.860 Rb
0.045 0.405 0.826 Rb
0.422 0.282 0.326 Rb
0.045 0.640 0.718 Rb
0.674 0.455 0.595 Rb
0.282 0.860 0.955 Rb
```


# 5
Computed, not measured: a geometry-optimized CaCo3B3 structure at the PBE level of DFT.

Values from the calculation:
Final energy   -6.27 eV per atom

Geometry as POSCAR:
```
CaCo3B3
1.0
5.489 0.000 0.000
0.000 5.489 0.000
0.000 0.000 5.489
Ca B Co
2 6 6
Direct
0.500 0.500 0.500 Ca
0.000 0.000 0.000 Ca
0.000 0.250 0.500 B
0.000 0.750 0.500 B
0.500 0.000 0.750 B
0.750 0.500 0.000 B
0.500 0.000 0.250 B
0.250 0.500 0.000 B
0.250 0.000 0.500 Co
0.000 0.500 0.250 Co
0.500 0.750 0.000 Co
0.750 0.000 0.500 Co
0.000 0.500 0.750 Co
0.500 0.250 0.000 Co
```


# 6
Computed, not measured: a geometry-optimized Li2ErCdAu4 structure at the PBE level of DFT.

Values from the calculation:
Final energy   -3.35 eV per atom

Geometry as POSCAR:
```
Li2ErCdAu4
1.0
-2.783 1.516 -3.549
-4.643 -1.041 0.006
-3.930 6.670 2.740
Li Er Cd Au
2 1 1 4
Direct
0.754 0.754 0.739 Li
0.246 0.246 0.261 Li
0.000 0.000 0.000 Er
0.500 0.500 0.500 Cd
0.377 0.377 0.870 Au
0.875 0.875 0.376 Au
0.125 0.125 0.624 Au
0.623 0.623 0.130 Au
```